Entry 1:
VASP calculation (GGA-PBE) on a relaxed structure of Pu3Al2Ge3.

Summary:
Magnetic moment (μB per formula unit): 0.00
Energy above the most stable polymorph in this dataset (meV/atom): 560
Final energy (eV per atom): -7.773
Formation energy from the elements (eV/atom): 0.269
Crystal system: hexagonal
Density of states at the Fermi level (states/eV/f.u.): 10.62

```
Pu3Al2Ge3
1.0
5.8823 0.0000 0.0000
0.0000 7.6703 0.0000
0.0000 -3.8351 6.6426
Ge Pu Al
6 6 4
Direct
0.2500 0.0000 0.4350 Ge
0.7500 0.4350 0.4350 Ge
0.7500 0.0000 0.5650 Ge
0.7500 0.5650 0.0000 Ge
0.2500 0.4350 0.0000 Ge
0.2500 0.5650 0.5650 Ge
0.2500 0.8207 0.0000 Pu
0.2500 0.0000 0.8207 Pu
0.7500 0.0000 0.1793 Pu
0.2500 0.1793 0.1793 Pu
0.7500 0.1793 0.0000 Pu
0.7500 0.8207 0.8207 Pu
0.0000 0.3333 0.6667 Al
0.5000 0.6667 0.3333 Al
0.0000 0.6667 0.3333 Al
0.5000 0.3333 0.6667 Al
```



Entry 2:
VASP calculation (GGA-PBE) on a relaxed structure of Pu3Al2Ge3.

Summary:
Magnetic moment (μB per formula unit): 16.22
Energy above the most stable polymorph in this dataset (meV/atom): 0
Final energy (eV per atom): -8.332
Formation energy from the elements (eV/atom): -0.291
Crystal system: orthorhombic
Density of states at the Fermi level (states/eV/f.u.): 25.03

```
Pu3Al2Ge3
1.0
-0.3723 -3.3905 -2.8318
5.0747 0.3953 2.3296
-4.4046 -8.7737 11.0836
Ge Pu Al
6 6 4
Direct
0.2627 0.5255 0.7500 Ge
0.9410 0.8820 0.0929 Ge
0.7373 0.4745 0.2500 Ge
0.9410 0.8820 0.4071 Ge
0.0590 0.1180 0.5929 Ge
0.0590 0.1180 0.9071 Ge
0.4477 0.8953 0.2500 Pu
0.3539 0.7078 0.5244 Pu
0.6461 0.2922 0.0244 Pu
0.6461 0.2922 0.4756 Pu
0.5523 0.1047 0.7500 Pu
0.3539 0.7078 0.9756 Pu
0.1691 0.3383 0.1602 Al
0.1691 0.3383 0.3398 Al
0.8309 0.6617 0.6602 Al
0.8309 0.6617 0.8398 Al
```



Entry 3:
VASP calculation (GGA-PBE) on a relaxed structure of Pu2AlGe.

Summary:
Magnetic moment (μB per formula unit): 10.80
Final energy (eV per atom): -9.570
Formation energy from the elements (eV/atom): -0.315
Crystal system: tetragonal
Density of states at the Fermi level (states/eV/f.u.): 11.94

```
Pu2AlGe
1.0
3.9075 0.0000 0.0000
0.0000 3.9075 0.0000
0.0000 0.0000 5.7000
Ge Al Pu
1 1 2
Direct
0.5000 0.5000 0.0000 Ge
0.5000 0.5000 0.5000 Al
0.0000 0.0000 0.2417 Pu
0.0000 0.0000 0.7583 Pu
```



Entry 4:
VASP calculation (GGA-PBE) on a relaxed structure of Pu2AlGe2Rh5.

Summary:
Magnetic moment (μB per formula unit): 10.54
Final energy (eV per atom): -8.435
Formation energy from the elements (eV/atom): -0.595
Crystal system: tetragonal
Density of states at the Fermi level (states/eV/f.u.): 19.95

```
Pu2AlGe2Rh5
1.0
3.0031 0.0000 0.0000
0.0000 10.5733 0.0000
0.0000 0.0000 10.5733
Rh Ge Al Pu
10 4 2 4
Direct
0.5000 0.1956 0.0482 Rh
0.5000 0.0482 0.8044 Rh
0.5000 0.5482 0.6956 Rh
0.5000 0.8044 0.9518 Rh
0.5000 0.6956 0.4518 Rh
0.5000 0.3044 0.5482 Rh
0.5000 0.4518 0.3044 Rh
0.5000 0.5000 0.0000 Rh
0.5000 0.9518 0.1956 Rh
0.5000 0.0000 0.5000 Rh
0.0000 0.8666 0.3666 Ge
0.0000 0.1335 0.6334 Ge
0.0000 0.3666 0.1335 Ge
0.0000 0.6334 0.8666 Ge
0.0000 0.5000 0.5000 Al
0.0000 0.0000 0.0000 Al
0.0000 0.6751 0.1751 Pu
0.0000 0.3249 0.8249 Pu
0.0000 0.8249 0.6751 Pu
0.0000 0.1751 0.3249 Pu
```